Entry 1:
A relaxed Na2GeF6 crystal. Source: Alexandria via LeMat-Bulk, functional GGA-PBE.

Lattice parameters (Å, degrees): 5.5462 5.5935 8.8851 90.00 90.00 90.00
With the nearest neighbours (Å) after each atom.
Sites, in units of the cell vectors:
Na (0.0000, 0.0000, 0.2056)  6 F 2.27-2.42
Na (0.0000, 0.0000, 0.7944)  6 F 2.27-2.42
Na (0.5000, 0.5000, 0.2944)  6 F 2.27-2.42
Na (0.5000, 0.5000, 0.7056)  6 F 2.27-2.42
Ge (0.0000, 0.5000, 0.0000)  6 F 1.82-1.84
Ge (0.5000, 0.0000, 0.5000)  6 F 1.82-1.84
F (0.1755, 0.2243, 0.0000)  1 Ge 1.82
F (0.1919, 0.6317, 0.1474)  1 Ge 1.84
F (0.1919, 0.6317, 0.8526)  1 Ge 1.84
F (0.3081, 0.1317, 0.3526)  1 Ge 1.84
F (0.3081, 0.1317, 0.6474)  1 Ge 1.84
F (0.3245, 0.7243, 0.5000)  1 Ge 1.82
F (0.6755, 0.2757, 0.5000)  1 Ge 1.82
F (0.6919, 0.8683, 0.3526)  1 Ge 1.84
F (0.6919, 0.8683, 0.6474)  1 Ge 1.84
F (0.8081, 0.3683, 0.1474)  1 Ge 1.84
F (0.8081, 0.3683, 0.8526)  1 Ge 1.84
F (0.8245, 0.7757, 0.0000)  1 Ge 1.82

Total moment ... 0.1 μB per formula unit
SG ... No. 58
ΔE to the lowest computed polymorph ... 0.07 eV per formula unit
Formation energy without anion corrections ... -2.70 eV per atom
Calculated volume ... 15.31 A^3/atom
Final energy ... -4.753 eV/atom

---

Entry 2:
A relaxed TmCuPdPt crystal. Source: Alexandria via LeMat-Bulk, functional GGA-PBE.

Lattice parameters (Å, degrees): 3.8955 4.0851 4.1828 90.00 90.00 90.00
With the nearest neighbours (Å) after each atom.
Sites, in units of the cell vectors:
Tm (0.0000, 0.0000, 0.0000)  4 Pt 2.82, 4 Pd 2.86, 4 Cu 2.92
Cu (0.0000, 0.5000, 0.5000)  4 Pd 2.82, 4 Pt 2.86, 4 Tm 2.92
Pd (0.5000, 0.0000, 0.5000)  4 Cu 2.82, 4 Tm 2.86, 4 Pt 2.92
Pt (0.5000, 0.5000, 0.0000)  4 Tm 2.82, 4 Cu 2.86, 4 Pd 2.92

Total moment ... 0.0 μB per formula unit
SG ... No. 47
ΔE to the lowest computed polymorph ... 0.00 eV per formula unit
DFT formation energy ... -819 meV per atom
Calculated volume ... 16.64 A^3/atom
Final energy ... -5.769 eV/atom

---

Entry 3:
A relaxed DyHo4In2 crystal. Source: Alexandria via LeMat-Bulk, functional GGA-PBE.

Lattice parameters (Å, degrees): 6.6490 10.6323 6.8230 90.00 118.16 90.00
With the nearest neighbours (Å) after each atom.
Sites, in units of the cell vectors:
Dy (0.0000, 0.0000, 0.0000)  2 In 3.13
Dy (0.0000, 0.5000, 0.5000)  2 In 3.13
Ho (0.0677, 0.1686, 0.5247)  1 In 3.04, 1 Ho 3.40
Ho (0.0677, 0.3314, 0.0247)  1 In 3.04, 1 Ho 3.40
Ho (0.4134, 0.7350, 0.4618)  4 In 3.05-3.40, 1 Ho 3.40
Ho (0.4134, 0.7650, 0.9618)  4 In 3.05-3.40, 1 Ho 3.40
Ho (0.5866, 0.2350, 0.0382)  4 In 3.05-3.40, 1 Ho 3.40
Ho (0.5866, 0.2650, 0.5382)  4 In 3.05-3.40, 1 Ho 3.40
Ho (0.9323, 0.6686, 0.9753)  1 In 3.04, 1 Ho 3.40
Ho (0.9323, 0.8314, 0.4753)  1 In 3.04, 1 Ho 3.40
In (0.4691, 0.5123, 0.2096)  5 Ho 3.04-3.40, 1 In 3.09, 1 Dy 3.13
In (0.4691, 0.9877, 0.7096)  5 Ho 3.04-3.40, 1 In 3.09, 1 Dy 3.13
In (0.5309, 0.0123, 0.2904)  5 Ho 3.04-3.40, 1 In 3.09, 1 Dy 3.13
In (0.5309, 0.4877, 0.7904)  5 Ho 3.04-3.40, 1 In 3.09, 1 Dy 3.13

Total moment ... 0.0 μB per formula unit
SG ... No. 14
ΔE to the lowest computed polymorph ... 0.00 eV per formula unit
DFT formation energy ... -113 meV per atom
Calculated volume ... 30.38 A^3/atom
Final energy ... -4.169 eV/atom

---

Entry 4:
A relaxed Na6ReF12 crystal. Source: Alexandria via LeMat-Bulk, functional GGA-PBE.

Lattice parameters (Å, degrees): 6.7158 6.7158 6.7158 98.31 98.31 98.31
With the nearest neighbours (Å) after each atom.
Sites, in units of the cell vectors:
Na (0.1630, 0.6083, 0.3904)  4 F 2.22-2.28
Na (0.3904, 0.1630, 0.6083)  4 F 2.22-2.28
Na (0.3917, 0.6096, 0.8370)  4 F 2.22-2.28
Na (0.6083, 0.3904, 0.1630)  4 F 2.22-2.28
Na (0.6096, 0.8370, 0.3917)  4 F 2.22-2.28
Na (0.8370, 0.3917, 0.6096)  4 F 2.22-2.28
Re (0.0000, 0.0000, 0.0000)  6 F 1.87
F (0.0432, 0.7425, 0.8838)  1 Re 1.87
F (0.1162, 0.9568, 0.2575)  1 Re 1.87
F (0.1650, 0.3746, 0.6028)  4 Na 2.22-2.28
F (0.2575, 0.1162, 0.9568)  1 Re 1.87
F (0.3746, 0.6028, 0.1650)  4 Na 2.22-2.28
F (0.3972, 0.8350, 0.6254)  4 Na 2.22-2.28
F (0.6028, 0.1650, 0.3746)  4 Na 2.22-2.28
F (0.6254, 0.3972, 0.8350)  4 Na 2.22-2.28
F (0.7425, 0.8838, 0.0432)  1 Re 1.87
F (0.8350, 0.6254, 0.3972)  4 Na 2.22-2.28
F (0.8838, 0.0432, 0.7425)  1 Re 1.87
F (0.9568, 0.2575, 0.1162)  1 Re 1.87

Total moment ... 0.7 μB per formula unit
SG ... No. 148
Formation energy without anion corrections ... -2.43 eV per atom
Calculated volume ... 15.39 A^3/atom
Final energy ... -4.688 eV/atom

---

Entry 5:
A relaxed Li2CuW crystal. Source: Alexandria via LeMat-Bulk, functional GGA-PBE.

Lattice parameters (Å, degrees): 2.6606 2.6606 8.4216 90.00 90.00 90.00
With the nearest neighbours (Å) after each atom.
Sites, in units of the cell vectors:
Li (0.0000, 0.0000, 0.0000)  4 Cu 2.64, 4 Li 2.66
Li (0.5000, 0.5000, 0.2866)  4 Li 2.66, 4 W 2.89
Cu (0.5000, 0.5000, 0.7807)  4 Li 2.64, 4 Cu 2.66, 4 W 2.72
W (0.0000, 0.0000, 0.5470)  4 W 2.66, 4 Cu 2.72, 4 Li 2.89

Total moment ... 0.0 μB per formula unit
SG ... No. 99
ΔE to the lowest computed polymorph ... 0.05 eV per formula unit
DFT formation energy ... 275 meV per atom
Calculated volume ... 14.90 A^3/atom
Final energy ... -4.944 eV/atom

---

Entry 6:
A relaxed LiTmSnBi crystal. Source: Alexandria via LeMat-Bulk, functional GGA-PBE.

Lattice parameters (Å, degrees): 5.2658 5.2658 5.2658 60.00 60.00 60.00
With the nearest neighbours (Å) after each atom.
Sites, in units of the cell vectors:
Li (0.0000, 0.0000, 0.0000)  4 Sn 3.22, 4 Bi 3.22
Tm (0.5000, 0.5000, 0.5000)  4 Sn 3.22, 4 Bi 3.22
Sn (0.7500, 0.7500, 0.7500)  4 Li 3.22, 4 Tm 3.22
Bi (0.2500, 0.2500, 0.2500)  4 Li 3.22, 4 Tm 3.22

Total moment ... 0.0 μB per formula unit
SG ... No. 216
DFT formation energy ... -366 meV per atom
Calculated volume ... 25.81 A^3/atom
Final energy ... -3.934 eV/atom

---

> The highest final energy belongs to which entry?

LiTmSnBi